A plane-wave DFT calculation with GGA+U was carried out for a geometry-optimized ZrMn3F structure.

Output
The raw total energy is -5.3955 eV per atom. The energy above the lowest structure with this stoichiometry is 1217 meV per atom. As for the spin magnetization: 12.00 μB per cell.

Cell: 5.386 5.386 5.386 Å, 90.00 90.00 90.00°
Site moments in Bohr magnetons follow the coordinates.
Element x y z (fractional)
Mn: 0.000 0.500 0.000  4.44
Mn: 0.000 0.000 0.500  4.30
Mn: 0.500 0.000 0.000  4.55
Zr: 0.000 0.000 0.000  -1.39
F: 0.500 0.500 0.500  0.04